# 1
# GGA-PBE ScPaNO, optimized geometry
data_ScPaNO
_space_group_name_H-M_alt 'P 1'
_space_group_IT_number 1
_space_group_name_Hall 'P 1'
_cell_length_a 4.426
_cell_length_b 4.426
_cell_length_c 6.014
_cell_angle_alpha 90.00
_cell_angle_beta 90.00
_cell_angle_gamma 90.00
loop_
_atom_site_label
_atom_site_fract_x
_atom_site_fract_y
_atom_site_fract_z
Sc1 0.250 0.250 0.006
Sc2 0.750 0.750 0.994
Pa1 0.250 0.750 0.500
Pa2 0.750 0.250 0.500
N1 0.250 0.250 0.351
N2 0.750 0.750 0.649
O1 0.250 0.750 0.000
O2 0.750 0.250 0.000
# Crystal system   tetragonal

# 2
# GGA-PBE PaSiNO, optimized geometry
data_PaSiNO
_space_group_name_H-M_alt 'P 1'
_space_group_IT_number 1
_space_group_name_Hall 'P 1'
_cell_length_a 3.748
_cell_length_b 5.045
_cell_length_c 5.421
_cell_angle_alpha 90.00
_cell_angle_beta 90.00
_cell_angle_gamma 90.00
loop_
_atom_site_label
_atom_site_fract_x
_atom_site_fract_y
_atom_site_fract_z
Pa1 0.000 0.217 0.000
Pa2 0.000 0.783 0.500
Si1 0.500 0.343 0.528
Si2 0.500 0.657 0.028
N1 0.000 0.283 0.482
N2 0.000 0.717 0.982
O1 0.500 0.039 0.708
O2 0.500 0.961 0.208
# Crystal system   orthorhombic

| no. | calculated density (g cm⁻³) | distance to the lowest polymorph of the same formula (eV per atom) | total DFT energy (no corrections) (eV/atom) |
| --- | --- | --- | --- |
| 1 | 8.62 | 0.1892 | -8.6393 |
| 2 | 9.37 | 0.1095 | -8.0172 |